An optimized crystal structure of LiV2Bi2Pb2O10. Source: Alexandria via LeMat-Bulk, functional GGA+U.

Cell: 12.489 6.244 8.482 Å, 90.00 110.11 90.00°
Space group C2/m (No. 12)
Inequivalent atoms, fractional coordinates:
Li (0.000, 0.000, 0.000) (multiplicity 2)
V (0.176, 0.500, 0.606) (multiplicity 4)
Bi (0.020, 0.000, 0.693) (multiplicity 4)
Pb (0.144, 0.500, 0.129) (multiplicity 4)
O (0.000, 0.275, 0.000) (multiplicity 4)
O (0.114, 0.500, 0.392) (multiplicity 4)
O (0.137, 0.265, 0.690) (multiplicity 8)
O (0.176, 0.000, 0.332) (multiplicity 4)

Results
Size of the total moment in Bohr magnetons per cell: 0.0
Final energy in eV per cell: -209.764